Entry from the Alexandria database: a relaxed structure of FeSN2O (PBE with a Hubbard U).

Structure (POSCAR):
```
FeSN2O
1.0
3.936 0.000 0.000
0.000 3.936 0.000
0.000 0.000 3.553
N S Fe O
2 1 1 1
direct
0.500 0.000 0.000
0.000 0.500 0.000
0.500 0.500 0.500
0.000 0.000 0.000
0.000 0.000 0.500
```

DOS(E_F) = 2.68 states/eV per cell
Calculated total energy = -0.1768 hartree per atom
Crystal system = tetragonal
Space group = No. 123